The following is a DFT calculation (GGA-PBE) of an optimized crystal structure of UInTc2.

Results
- Distance to the lowest polymorph of the same formula: 0.000 eV/atom
- DFT formation energy: -0.09 eV per atom

Cell: 3.556 4.483 4.483 Å, 90.00 90.00 90.00°
Element x y z (fractional)
In  0.500  0.500  0.500
Tc  0.000  0.000  0.500
Tc  0.000  0.500  0.000
U  0.500  0.000  0.000

The following is a DFT calculation (GGA-PBE) of an optimized crystal structure of V2InTc.

Results
- DFT formation energy: 0.19 eV per atom

Cell: 2.988 2.988 8.611 Å, 80.01 80.01 60.00°
Last column: magnetic moment on the atom in μB.
Element x y z (fractional)
Tc  0.000  0.000  0.000  -0.12
V  0.261  0.261  0.217  0.36
V  0.739  0.739  0.783  0.36
In  0.500  0.500  0.500  -0.01

The following is a DFT calculation (GGA-PBE) of an optimized crystal structure of V2InTc.

Results
- DFT formation energy: 0.00 eV per atom

Cell: 3.208 3.208 6.107 Å, 90.00 90.00 90.00°
Last column: magnetic moment on the atom in μB.
Element x y z (fractional)
In  0.500  0.500  0.500  -0.01
V  0.000  0.000  0.210  0.26
V  0.000  0.000  0.790  0.26
Tc  0.500  0.500  0.000  -0.08

The following is a DFT calculation (GGA-PBE) of an optimized crystal structure of VIn2Tc2.

Results
- Distance to the lowest polymorph of the same formula: 0.035 eV/atom
- DFT formation energy: 0.63 eV per atom

Cell: 3.489 3.489 8.547 Å, 78.22 78.22 90.00°
Last column: magnetic moment on the atom in μB.
Element x y z (fractional)
Tc  0.250  0.750  0.500  0.07
In  0.605  0.605  0.790  -0.02
In  0.395  0.395  0.210  -0.02
V  0.000  0.000  0.000  2.58
Tc  0.750  0.250  0.500  0.07

The following is a DFT calculation (GGA-PBE) of an optimized crystal structure of VIn2Tc2.

Results
- Distance to the lowest polymorph of the same formula: 0.000 eV/atom
- DFT formation energy: 0.59 eV per atom

Cell: 7.383 7.383 3.309 Å, 90.00 90.00 90.00°
Last column: magnetic moment on the atom in μB.
Element x y z (fractional)
Tc  0.656  0.844  0.500  -0.84
In  0.357  0.857  0.000  0.02
Tc  0.844  0.344  0.500  -0.84
V  0.500  0.500  0.000  2.04
In  0.643  0.143  0.000  0.02
V  0.000  0.000  0.000  2.04
Tc  0.344  0.156  0.500  -0.84
In  0.143  0.357  0.000  0.02
In  0.857  0.643  0.000  0.02
Tc  0.156  0.656  0.500  -0.84

The following is a DFT calculation (GGA-PBE) of an optimized crystal structure of V2InTc.

Results
- DFT formation energy: 0.51 eV per atom

Cell: 7.153 7.153 5.737 Å, 51.44 51.44 90.00°
Element x y z (fractional)
V  0.574  0.125  0.250
V  0.875  0.824  0.750
V  0.176  0.625  0.250
In  0.000  0.000  0.000
Tc  0.250  0.750  0.500
In  0.750  0.250  0.500
Tc  0.500  0.500  0.000
V  0.375  0.426  0.750

The following is a DFT calculation (GGA-PBE) of an optimized crystal structure of InTcW3.

Results
- Distance to the lowest polymorph of the same formula: 0.000 eV/atom
- DFT formation energy: 1.78 eV per atom

Cell: 4.737 4.737 4.737 Å, 90.00 90.00 90.00°
Element x y z (fractional)
W  0.000  0.500  0.000
W  0.000  0.000  0.500
In  0.500  0.500  0.500
W  0.500  0.000  0.000
Tc  0.000  0.000  0.000

The following is a DFT calculation (GGA-PBE) of an optimized crystal structure of InTc3W.

Results
- Distance to the lowest polymorph of the same formula: 1.125 eV/atom
- DFT formation energy: 2.66 eV per atom

Cell: 4.686 4.686 4.686 Å, 90.00 90.00 90.00°
Element x y z (fractional)
In  0.000  0.000  0.000
Tc  0.000  0.000  0.500
Tc  0.500  0.000  0.000
Tc  0.000  0.500  0.000
W  0.500  0.500  0.500

The following is a DFT calculation (GGA-PBE) of an optimized crystal structure of In4TcW.

Results
- DFT formation energy: 1.17 eV per atom

Cell: 5.594 5.594 5.594 Å, 60.00 60.00 60.00°
Last column: magnetic moment on the atom in μB.
Element x y z (fractional)
In  0.875  0.375  0.375  -0.01
Tc  0.750  0.750  0.750  2.04
In  0.375  0.375  0.875  -0.01
In  0.375  0.875  0.375  -0.01
In  0.375  0.375  0.375  -0.01
W  0.000  0.000  0.000  0.90

The following is a DFT calculation (GGA-PBE) of an optimized crystal structure of InTc3W.

Results
- Distance to the lowest polymorph of the same formula: 0.000 eV/atom
- DFT formation energy: 1.53 eV per atom

Cell: 4.734 4.734 4.734 Å, 90.00 90.00 90.00°
Last column: magnetic moment on the atom in μB.
Element x y z (fractional)
Tc  0.500  0.000  0.000  0.73
Tc  0.000  0.000  0.500  0.75
Tc  0.000  0.500  0.000  0.77
In  0.500  0.500  0.500  -0.05
W  0.000  0.000  0.000  -0.17

The following is a DFT calculation (GGA-PBE) of an optimized crystal structure of InTc4W.

Results
- DFT formation energy: 0.31 eV per atom

Cell: 5.157 5.157 5.157 Å, 60.00 60.00 60.00°
Element x y z (fractional)
Tc  0.877  0.374  0.374
Tc  0.374  0.374  0.374
Tc  0.374  0.877  0.374
In  0.000  0.000  0.000
Tc  0.374  0.374  0.877
W  0.750  0.750  0.750

The following is a DFT calculation (GGA-PBE) of an optimized crystal structure of Y2InTcW.

Results
- DFT formation energy: 0.71 eV per atom

Cell: 5.492 4.634 5.492 Å, 90.00 90.00 90.00°
Last column: magnetic moment on the atom in μB.
Element x y z (fractional)
In  0.500  0.500  0.500  0.00
Y  0.000  0.000  0.500  0.01
Y  0.500  0.000  0.000  -0.01
W  0.000  0.000  0.000  -0.02
Tc  0.000  0.500  0.000  0.65

The following is a DFT calculation (GGA-PBE) of an optimized crystal structure of YIn2Tc.

Results
- Distance to the lowest polymorph of the same formula: 0.126 eV/atom
- DFT formation energy: 0.05 eV per atom

Cell: 5.670 5.670 5.670 Å, 141.40 129.40 65.40°
Element x y z (fractional)
Y  0.268  0.768  0.500
Tc  0.504  0.504  0.000
In  0.995  0.995  0.000
In  0.733  0.233  0.500

The following is a DFT calculation (GGA-PBE) of an optimized crystal structure of YIn2Tc.

Results
- Distance to the lowest polymorph of the same formula: 0.253 eV/atom
- DFT formation energy: 0.18 eV per atom

Cell: 9.901 9.901 9.901 Å, 18.94 18.94 18.94°
Element x y z (fractional)
In  0.989  0.989  0.989
Tc  0.250  0.250  0.250
Y  0.750  0.750  0.750
In  0.511  0.511  0.511

The following is a DFT calculation (GGA-PBE) of an optimized crystal structure of YInTc.

Results
- Distance to the lowest polymorph of the same formula: 0.371 eV/atom
- DFT formation energy: 0.21 eV per atom

Cell: 3.430 3.430 6.665 Å, 90.00 90.00 120.00°
Element x y z (fractional)
Y  0.333  0.667  0.633
Tc  0.667  0.333  0.331
In  0.000  0.000  0.036

The following is a DFT calculation (GGA-PBE) of an optimized crystal structure of YInTc.

Results
- Distance to the lowest polymorph of the same formula: 0.452 eV/atom
- DFT formation energy: 0.29 eV per atom

Cell: 4.700 4.700 4.700 Å, 60.00 60.00 60.00°
Last column: magnetic moment on the atom in μB.
Element x y z (fractional)
Y  0.000  0.000  0.000  0.04
In  0.500  0.500  0.500  -0.01
Tc  0.250  0.250  0.250  0.50

The following is a DFT calculation (GGA-PBE) of an optimized crystal structure of Y2InTc.

Results
- DFT formation energy: 0.00 eV per atom

Cell: 5.514 5.514 5.514 Å, 131.85 131.85 70.46°
Last column: magnetic moment on the atom in μB.
Element x y z (fractional)
Tc  0.750  0.250  0.500  0.41
Y  0.250  0.750  0.500  -0.02
In  0.500  0.500  0.000  0.00
Y  0.000  0.000  0.000  0.00

The following is a DFT calculation (GGA-PBE) of an optimized crystal structure of YIn2Tc.

Results
- Distance to the lowest polymorph of the same formula: 0.239 eV/atom
- DFT formation energy: 0.17 eV per atom

Cell: 4.942 4.942 4.942 Å, 60.00 60.00 60.00°
Element x y z (fractional)
Tc  0.500  0.500  0.500
Y  0.750  0.750  0.750
In  0.250  0.250  0.250
In  0.000  0.000  0.000

The following is a DFT calculation (GGA-PBE) of an optimized crystal structure of YInTc.

Results
- Distance to the lowest polymorph of the same formula: 0.000 eV/atom
- DFT formation energy: -0.16 eV per atom

Cell: 4.132 5.265 7.007 Å, 102.10 107.15 90.00°
Element x y z (fractional)
Tc  0.774  0.113  0.549
Y  0.128  0.319  0.256
Tc  0.226  0.887  0.451
Y  0.872  0.681  0.744
In  0.429  0.214  0.859
In  0.571  0.786  0.141

The following is a DFT calculation (GGA-PBE) of an optimized crystal structure of Y2InTc.

Results
- DFT formation energy: 0.02 eV per atom

Cell: 3.621 3.621 7.426 Å, 90.00 90.00 90.00°
Last column: magnetic moment on the atom in μB.
Element x y z (fractional)
Y  0.500  0.500  0.298  0.28
Y  0.000  0.000  0.949  0.12
Tc  0.500  0.500  0.711  0.10
In  0.000  0.000  0.542  -0.01

The following is a DFT calculation (GGA-PBE) of an optimized crystal structure of YIn2Tc.

Results
- Distance to the lowest polymorph of the same formula: 0.274 eV/atom
- DFT formation energy: 0.20 eV per atom

Cell: 9.691 9.691 9.691 Å, 20.09 20.09 20.09°
Element x y z (fractional)
Tc  0.501  0.501  0.501
Y  0.763  0.763  0.763
In  0.997  0.997  0.997
In  0.239  0.239  0.239

The following is a DFT calculation (GGA-PBE) of an optimized crystal structure of YIn2Tc.

Results
- Distance to the lowest polymorph of the same formula: 0.000 eV/atom
- DFT formation energy: -0.07 eV per atom

Cell: 5.277 5.277 5.107 Å, 71.78 71.78 40.99°
Element x y z (fractional)
Y  0.750  0.750  0.750
In  0.980  0.980  0.044
Tc  0.250  0.250  0.250
In  0.520  0.520  0.456

The following is a DFT calculation (GGA-PBE) of an optimized crystal structure of Y2InTc.

Results
- DFT formation energy: 0.21 eV per atom

Cell: 8.198 8.198 6.533 Å, 51.14 51.14 90.00°
Element x y z (fractional)
Y  0.567  0.125  0.250
Tc  0.500  0.500  0.000
Y  0.183  0.625  0.250
Tc  0.250  0.750  0.500
In  0.750  0.250  0.500
Y  0.375  0.433  0.750
Y  0.875  0.817  0.750
In  0.000  0.000  0.000

The following is a DFT calculation (GGA-PBE) of an optimized crystal structure of YIn2Tc.

Results
- Distance to the lowest polymorph of the same formula: 0.020 eV/atom
- DFT formation energy: -0.05 eV per atom

Cell: 5.722 5.722 5.722 Å, 142.76 128.74 65.05°
Element x y z (fractional)
In  0.523  0.523  0.000
Y  0.250  0.750  0.500
In  0.977  0.977  0.000
Tc  0.750  0.250  0.500

The following is a DFT calculation (GGA-PBE) of an optimized crystal structure of Y2InTc.

Results
- DFT formation energy: -0.08 eV per atom

Cell: 4.618 3.832 5.904 Å, 71.13 90.00 90.00°
Element x y z (fractional)
Tc  0.500  0.555  0.766
Y  0.500  0.274  0.326
In  0.000  0.694  0.487
Y  0.000  0.978  0.920

The following is a DFT calculation (GGA-PBE) of an optimized crystal structure of Y2InTc.

Results
- DFT formation energy: -0.07 eV per atom

Cell: 6.177 6.177 6.177 Å, 146.45 132.17 59.69°
Element x y z (fractional)
Y  0.963  0.963  0.000
Y  0.255  0.755  0.500
Tc  0.742  0.242  0.500
In  0.540  0.540  0.000

The following is a DFT calculation (GGA-PBE) of an optimized crystal structure of YIn2Tc.

Results
- Distance to the lowest polymorph of the same formula: 0.012 eV/atom
- DFT formation energy: -0.06 eV per atom

Cell: 5.284 5.284 5.284 Å, 130.14 130.14 73.18°
Last column: magnetic moment on the atom in μB.
Element x y z (fractional)
In  0.000  0.000  0.000  0.00
Y  0.750  0.250  0.500  -0.02
Tc  0.250  0.750  0.500  0.28
In  0.500  0.500  0.000  0.00

The following is a DFT calculation (GGA-PBE) of an optimized crystal structure of YIn2Tc.

Results
- Distance to the lowest polymorph of the same formula: 0.063 eV/atom
- DFT formation energy: -0.01 eV per atom

Cell: 4.913 4.913 4.913 Å, 60.00 60.00 60.00°
Element x y z (fractional)
In  0.250  0.250  0.250
Tc  0.500  0.500  0.500
Y  0.000  0.000  0.000
In  0.750  0.750  0.750

The following is a DFT calculation (GGA-PBE) of an optimized crystal structure of YIn4Tc.

Results
- DFT formation energy: 0.30 eV per atom

Cell: 5.816 5.816 5.816 Å, 60.00 60.00 60.00°
Last column: magnetic moment on the atom in μB.
Element x y z (fractional)
In  0.874  0.375  0.375  0.01
In  0.375  0.375  0.874  0.01
In  0.375  0.874  0.375  0.01
In  0.375  0.375  0.375  0.01
Y  0.000  0.000  0.000  -0.05
Tc  0.750  0.750  0.750  1.79